No. 1
# HfCu7Au12 (PBE, relaxed)
# Energy of formation   124 meV per atom
data_HfCu7Au12
_cell_length_a 10.8285
_cell_length_b 10.8285
_cell_length_c 10.5688
_cell_angle_alpha 90.00
_cell_angle_beta 90.00
_cell_angle_gamma 120.00
_space_group_name_H-M_alt 'R -3'
_space_group_IT_number 148
_space_group_name_Hall '-R 3'
loop_
_atom_site_label
_atom_site_type_symbol
_atom_site_fract_x
_atom_site_fract_y
_atom_site_fract_z
Hf1 Hf 0.0000 0.0000 0.0000
Cu1 Cu 0.0000 0.0000 0.5000
Cu2 Cu 0.1017 0.8962 0.8266
Au1 Au 0.0306 0.5159 0.7357
Au2 Au 0.0956 0.9026 0.3427

No. 2
# HfCuAu3 (PBE, relaxed)
# Polymorph energy (0 for the lowest one)   670.8 meV/atom
# Energy of formation   466 meV per atom
data_HfCuAu3
_cell_length_a 4.695
_cell_length_b 4.695
_cell_length_c 4.695
_cell_angle_alpha 90.00
_cell_angle_beta 90.00
_cell_angle_gamma 90.00
_space_group_name_H-M_alt 'P m -3 m'
_space_group_IT_number 221
_space_group_name_Hall '-P 4 2 3'
loop_
_atom_site_label
_atom_site_type_symbol
_atom_site_fract_x
_atom_site_fract_y
_atom_site_fract_z
Hf1 Hf 0.000 0.000 0.000
Cu1 Cu 0.500 0.500 0.500
Au1 Au 0.000 0.500 0.500

No. 3
# Hf3Cu4Au2 (PBE, relaxed)
# Energy of formation   -195 meV per atom
data_Hf3Cu4Au2
_cell_length_a 12.796
_cell_length_b 10.178
_cell_length_c 4.758
_cell_angle_alpha 90.00
_cell_angle_beta 100.32
_cell_angle_gamma 90.00
_space_group_name_H-M_alt 'C 1 2/c 1'
_space_group_IT_number 15
_space_group_name_Hall '-C 2yc'
loop_
_atom_site_label
_atom_site_type_symbol
_atom_site_fract_x
_atom_site_fract_y
_atom_site_fract_z
Hf1 Hf 0.000 0.124 0.250
Hf2 Hf 0.161 0.374 0.088
Cu1 Cu 0.050 0.378 0.529
Cu2 Cu 0.105 0.130 0.798
Au1 Au 0.222 0.119 0.354

No. 4
# HfCu3Au (PBE, relaxed)
# Polymorph energy (0 for the lowest one)   0.0 meV/atom
# Energy of formation   869 meV per atom
data_HfCu3Au
_cell_length_a 4.648
_cell_length_b 4.648
_cell_length_c 4.648
_cell_angle_alpha 90.00
_cell_angle_beta 90.00
_cell_angle_gamma 90.00
_space_group_name_H-M_alt 'P m -3 m'
_space_group_IT_number 221
_space_group_name_Hall '-P 4 2 3'
loop_
_atom_site_label
_atom_site_type_symbol
_atom_site_fract_x
_atom_site_fract_y
_atom_site_fract_z
Hf1 Hf 0.000 0.000 0.000
Cu1 Cu 0.000 0.500 0.500
Au1 Au 0.500 0.500 0.500

No. 5
# HfCu2Au5 (PBE, relaxed)
# Energy of formation   -122 meV per atom
data_HfCu2Au5
_cell_length_a 6.984
_cell_length_b 6.984
_cell_length_c 11.389
_cell_angle_alpha 90.00
_cell_angle_beta 90.00
_cell_angle_gamma 90.00
_space_group_name_H-M_alt 'I 4/m c m'
_space_group_IT_number 140
_space_group_name_Hall '-I 4 2c'
loop_
_atom_site_label
_atom_site_type_symbol
_atom_site_fract_x
_atom_site_fract_y
_atom_site_fract_z
Hf1 Hf 0.000 0.000 0.250
Cu1 Cu 0.141 0.359 0.000
Au1 Au 0.000 0.000 0.000
Au2 Au 0.154 0.346 0.344

No. 6
# Hf2CuAu2 (PBE, relaxed)
# Polymorph energy (0 for the lowest one)   209.7 meV/atom
# Energy of formation   -54 meV per atom
data_Hf2CuAu2
_cell_length_a 7.528
_cell_length_b 7.528
_cell_length_c 3.547
_cell_angle_alpha 90.00
_cell_angle_beta 90.00
_cell_angle_gamma 90.00
_space_group_name_H-M_alt 'P 4/m b m'
_space_group_IT_number 127
_space_group_name_Hall '-P 4 2ab'
loop_
_atom_site_label
_atom_site_type_symbol
_atom_site_fract_x
_atom_site_fract_y
_atom_site_fract_z
Hf1 Hf 0.166 0.334 0.000
Cu1 Cu 0.000 0.000 0.000
Au1 Au 0.136 0.636 0.500

For reference, N(E_F) by record: 0.406 0.997 0.635 1.265 0.352 1.034 states/eV/atom.